## Na2CdCo3F12 (PBE+U)

Data for a geometry-optimized Na2CdCo3F12 structure.

Output
ρ in g/cm³: 3.83
Density of states at the Fermi level in states/eV/cell: 3.933
DFT total energy in eV per atom: -4.329

abc: 6.846 6.846 6.846
angles: 63.44 63.44 63.44
Each line ends with the local moment (μB).
Positions (direct):
Na (0.643, 0.643, 0.643)  0.00
Na (0.357, 0.357, 0.357)  0.00
Cd (0.000, 0.000, 0.000)  0.00
Co (0.500, 0.000, 0.000)  0.37
Co (0.000, 0.500, 0.000)  0.37
Co (0.000, 0.000, 0.500)  0.37
F (0.282, 0.282, 0.895)  -0.01
F (0.874, 0.874, 0.407)  -0.01
F (0.407, 0.874, 0.874)  -0.01
F (0.895, 0.282, 0.282)  -0.01
F (0.874, 0.407, 0.874)  -0.01
F (0.282, 0.895, 0.282)  -0.01
F (0.718, 0.718, 0.105)  -0.01
F (0.126, 0.126, 0.593)  -0.01
F (0.593, 0.126, 0.126)  -0.01
F (0.105, 0.718, 0.718)  -0.01
F (0.126, 0.593, 0.126)  -0.01
F (0.718, 0.105, 0.718)  -0.01